(1)
Pm2Pr4Er7 PBE-GGA optimized geometry; electronic total energy = -58.54 eV/f.u.; magnetic moment = 0.000 μB/atom; energy relative to the elements = 15 kJ per mole of atoms
1.0
-3.356 -5.058 0.704
2.916 1.023 -5.272
10.865 -6.549 4.739
Pm Pr Er
2 4 7
Cartesian
-1.265 -3.031 -1.288
0.826 -1.004 -3.280
4.245 -2.559 1.852
6.180 -8.026 -1.680
4.167 -6.306 1.081
6.258 -4.279 -0.910
4.181 -0.713 -2.429
6.244 -9.871 2.600
0.000 0.000 0.000
0.105 -4.665 1.454
10.320 -5.919 -1.283
8.293 -7.793 0.774
2.132 -2.791 -0.603

---

(2)
Pm4PrEr4 PBE-GGA optimized geometry; electronic total energy = -41.87 eV/f.u.; magnetic moment = 0.000 μB/atom; energy relative to the elements = 2 kJ per mole of atoms
1.0
5.056 0.000 0.000
2.528 7.634 0.000
2.528 0.000 7.634
Pm Pr Er
4 1 4
Cartesian
5.056 2.530 2.531
5.056 5.104 5.104
2.528 5.104 2.530
7.584 2.531 5.104
0.000 0.000 0.000
7.584 5.083 7.634
2.528 2.551 0.000
5.056 0.000 5.083
5.056 7.634 2.551

---

(3)
Pm4PrEr15 PBE-GGA optimized geometry; electronic total energy = -91.77 eV/f.u.; magnetic moment = 0.000 μB/atom; energy relative to the elements = 2 kJ per mole of atoms
1.0
-2.145 -0.177 -4.535
0.090 -5.017 0.154
-22.585 -0.077 10.683
Pm Pr Er
4 1 15
Cartesian
-4.531 -0.015 2.143
-9.041 -0.031 4.277
-13.543 -0.046 6.406
-18.053 -0.061 8.539
0.000 0.000 0.000
-1.027 -2.597 -2.191
-5.562 -2.612 -0.046
-10.068 -2.628 2.086
-14.571 -2.643 4.216
-19.077 -2.658 6.347
-3.350 -0.096 -1.190
-7.861 -0.112 0.943
-12.365 -0.127 3.074
-16.868 -0.142 5.204
-21.379 -0.158 7.338
-2.233 -2.516 1.154
-6.743 -2.531 3.288
-11.247 -2.547 5.418
-15.751 -2.562 7.549
-20.262 -2.577 9.682

---

(4)
Pm2Pr3Er6 PBE-GGA optimized geometry; electronic total energy = -48.38 eV/f.u.; magnetic moment = 0.000 μB/atom; energy relative to the elements = 25 kJ per mole of atoms
1.0
4.780 0.000 0.000
0.000 4.780 0.000
-2.390 -2.390 16.575
Pm Pr Er
2 3 6
Cartesian
0.000 0.000 15.040
2.390 2.390 1.535
0.000 0.000 0.000
2.390 2.390 9.777
0.000 0.000 6.798
0.000 2.390 3.989
2.390 0.000 3.989
2.390 0.000 12.586
0.000 2.390 12.586
2.390 2.390 6.324
0.000 0.000 10.251

---

(5)
Pm4Pr2Er3 PBE-GGA optimized geometry; electronic total energy = -41.66 eV/f.u.; magnetic moment = 0.000 μB/atom; energy relative to the elements = 6 kJ per mole of atoms
1.0
5.719 0.000 0.000
-2.860 5.513 -2.579
0.000 -1.751 10.340
Pm Pr Er
4 2 3
Cartesian
2.860 2.309 -0.507
0.000 1.452 8.269
2.860 3.822 4.048
0.000 -0.060 3.713
2.860 0.703 2.356
0.000 3.059 5.406
2.860 0.666 6.044
0.000 0.000 0.000
0.000 3.096 1.717

---

(6)
PmPr12Er6 PBE-GGA optimized geometry; electronic total energy = -89.15 eV/f.u.; magnetic moment = 0.000 μB/atom; energy relative to the elements = 2 kJ per mole of atoms
1.0
9.109 -0.616 -3.103
-4.147 8.134 -3.103
-0.406 -0.616 9.615
Pm Pr Er
1 12 6
Cartesian
0.000 0.000 0.000
2.916 -0.116 4.243
-2.030 4.453 1.600
3.717 2.635 -2.399
1.640 7.018 -0.834
6.586 2.449 1.809
0.839 4.267 5.807
0.001 0.763 6.272
-1.660 6.602 4.506
6.220 1.070 5.178
4.555 6.140 -2.864
6.215 0.301 -1.098
-1.665 5.833 -1.769
0.449 2.170 2.884
3.698 3.389 3.791
1.275 5.636 2.478
4.106 4.733 0.524
0.858 3.514 -0.383
3.280 1.266 0.931

---

Volume: 33.69 32.74 31.48 34.43 33.35 34.29 (Å³ per atom)